Here is a relaxed Ho6Tm3Mg crystal from the Alexandria database. Energies are from PBE.

Calculated values
Energy of formation, eV/atom: 0.02
E above lowest polymorph, eV per formula unit: 0.000
VASP energy, eV per atom: -4.23
Crystal system: monoclinic

Lattice parameters (Å, degrees): 10.993 4.950 11.050 90.00 90.31 90.00
Positions (direct):
Ho1 0.049 0.250 0.400
Ho2 0.149 0.750 0.196
Ho3 0.150 0.250 0.698
Ho4 0.248 0.250 0.999
Ho5 0.349 0.750 0.800
Ho6 0.449 0.250 0.602
Ho7 0.551 0.750 0.398
Ho8 0.651 0.250 0.200
Ho9 0.752 0.750 0.001
Ho10 0.850 0.750 0.302
Ho11 0.851 0.250 0.804
Ho12 0.951 0.750 0.600
Tm1 0.249 0.750 0.498
Tm2 0.349 0.250 0.297
Tm3 0.449 0.750 0.100
Tm4 0.551 0.250 0.900
Tm5 0.651 0.750 0.703
Tm6 0.751 0.250 0.502
Mg1 0.048 0.750 0.903
Mg2 0.952 0.250 0.097